DFT (PBE) results for crystalline NaGe2Pt3 at its relaxed geometry.

abc: 8.503 8.503 10.075
angles: 105.94 105.94 27.54
Positions (direct):
Na  0.000  0.000  0.000
Na  0.164  0.164  0.709
Na  0.836  0.836  0.291
Ge  0.191  0.191  0.126
Ge  0.361  0.361  0.541
Ge  0.457  0.457  0.211
Ge  0.543  0.543  0.789
Ge  0.639  0.639  0.459
Ge  0.809  0.809  0.874
Pt  0.032  0.032  0.324
Pt  0.216  0.216  0.394
Pt  0.320  0.320  0.038
Pt  0.381  0.381  0.798
Pt  0.500  0.500  0.500
Pt  0.619  0.619  0.202
Pt  0.680  0.680  0.962
Pt  0.784  0.784  0.606
Pt  0.968  0.968  0.676

Values from the calculation:
- Fermi-level density of states (states/eV per atom) = 0.362
- energy of formation from the pure elements (meV per atom) = -484

---

DFT (PBE) results for crystalline CaRe2NiSn at its relaxed geometry.

abc: 4.654 4.654 4.711
angles: 90.00 90.00 90.00
Positions (direct):
Ca  0.000  0.000  0.000
Re  0.000  0.500  0.500
Re  0.500  0.000  0.500
Ni  0.500  0.500  0.500
Sn  0.500  0.500  0.000

Values from the calculation:
- Fermi-level density of states (states/eV per atom) = 1.371
- energy of formation from the pure elements (meV per atom) = 1108

---

DFT (PBE) results for crystalline BaSrAl2 at its relaxed geometry.

abc: 3.738 3.738 9.689
angles: 90.00 90.00 90.00
Positions (direct):
Ba  0.000  0.000  0.000
Sr  0.500  0.500  0.391
Al  0.000  0.000  0.624
Al  0.500  0.500  0.751

Values from the calculation:
- relative energy among the computed polymorphs (meV per atom) = 212
- Fermi-level density of states (states/eV per atom) = 1.271
- energy of formation from the pure elements (meV per atom) = 19

---

DFT (PBE) results for crystalline CdS2ClO at its relaxed geometry.

abc: 4.294 4.294 4.649
angles: 90.00 90.00 90.00
Positions (direct):
Cd  0.000  0.000  0.000
S  0.000  0.500  0.500
S  0.500  0.000  0.500
Cl  0.500  0.500  0.000
O  0.500  0.500  0.500

Values from the calculation:
- relative energy among the computed polymorphs (meV per atom) = 0
- Fermi-level density of states (states/eV per atom) = 0.624
- uncorrected formation energy (eV/atom) = 0.483

---

DFT (PBE) results for crystalline CaTe2Pt at its relaxed geometry.

abc: 9.387 9.387 9.387
angles: 24.93 24.93 24.93
Positions (direct):
Ca  0.000  0.000  0.000
Te  0.115  0.115  0.115
Te  0.885  0.885  0.885
Pt  0.500  0.500  0.500

Values from the calculation:
- relative energy among the computed polymorphs (meV per atom) = 489
- Fermi-level density of states (states/eV per atom) = 0.413
- uncorrected formation energy (eV/atom) = -0.370

---

DFT (PBE) results for crystalline Dy2BeHg at its relaxed geometry.

abc: 5.093 5.093 5.093
angles: 60.00 60.00 60.00
Positions (direct):
Dy  0.250  0.250  0.250
Dy  0.750  0.750  0.750
Be  0.000  0.000  0.000
Hg  0.500  0.500  0.500

Values from the calculation:
- relative energy among the computed polymorphs (meV per atom) = 77
- Fermi-level density of states (states/eV per atom) = 1.030
- energy of formation from the pure elements (meV per atom) = -120

---

DFT (PBE) results for crystalline Sr2Sn3Ir4Pb at its relaxed geometry.

abc: 4.580 4.580 11.034
angles: 90.00 90.00 90.00
Positions (direct):
Sr  0.000  0.500  0.242
Sr  0.500  0.000  0.758
Sn  0.000  0.500  0.874
Sn  0.500  0.000  0.126
Sn  0.500  0.500  0.500
Ir  0.000  0.000  0.000
Ir  0.000  0.500  0.635
Ir  0.500  0.000  0.365
Ir  0.500  0.500  0.000
Pb  0.000  0.000  0.500

Values from the calculation:
- Fermi-level density of states (states/eV per atom) = 0.399
- energy of formation from the pure elements (meV per atom) = -363

---

DFT (PBE) results for crystalline TlPdS2N at its relaxed geometry.

abc: 5.190 5.190 4.080
angles: 90.00 90.00 90.00
Positions (direct):
Tl  0.000  0.000  0.000
Pd  0.500  0.500  0.500
S  0.000  0.500  0.000
S  0.500  0.000  0.000
N  0.000  0.000  0.500

Values from the calculation:
- relative energy among the computed polymorphs (meV per atom) = 1003
- Fermi-level density of states (states/eV per atom) = 2.120
- uncorrected formation energy (eV/atom) = 1.658